# 1
The following is a DFT calculation (meta-GGA SCAN) of a PBEsol-optimized structure of MnFeN3.

a = 3.6158 Å, b = 3.6158 Å, c = 3.6158 Å
α = 90.00°, β = 90.00°, γ = 90.00°
Closest atoms and distances in Å follow each position.
Fractional coordinates of all 5 atoms:
Mn 0.0000 0.0000 0.0000  6 N 1.81
Fe 0.5000 0.5000 0.5000  12 N 2.56
N 0.0000 0.0000 0.5000  2 Mn 1.81
N 0.0000 0.5000 0.0000  2 Mn 1.81
N 0.5000 0.0000 0.0000  2 Mn 1.81

Volume: 9.455 A^3/atom
Total magnetization: 2.26 μB/f.u.
E_form (uncorrected): 0.937 eV per atom

=====

# 2
The following is a DFT calculation (meta-GGA SCAN) of a PBEsol-optimized structure of Tl2PRh.

a = 6.5454 Å, b = 6.5454 Å, c = 6.5454 Å
α = 152.31°, β = 139.26°, γ = 49.98°
Closest atoms and distances in Å follow each position.
Fractional coordinates of all 4 atoms:
Tl 0.0000 0.0000 0.0000  4 Rh 2.84, 2 Tl 3.13
Tl 0.6984 0.1984 0.5000  4 P 3.05, 4 Tl 3.13-3.28, 2 Rh 3.38
P 0.3074 0.8074 0.5000  2 Rh 2.27
Rh 0.4457 0.4457 0.0000  2 P 2.27

Energy of formation from the pure elements: 13 meV per atom
Volume: 21.175 A^3/atom
Total magnetization: 0.00 μB/f.u.
ΔE to the lowest computed polymorph: 0.171 eV per atom

=====

# 3
The following is a DFT calculation (meta-GGA SCAN) of a PBEsol-optimized structure of TlCr2Pb.

a = 4.9930 Å, b = 4.9930 Å, c = 4.9930 Å
α = 60.00°, β = 60.00°, γ = 60.00°
Closest atoms and distances in Å follow each position.
Fractional coordinates of all 4 atoms:
Tl 0.0000 0.0000 0.0000  4 Cr 3.06, 4 Pb 3.06
Cr 0.5000 0.5000 0.5000  4 Cr 3.06, 4 Pb 3.06
Cr 0.7500 0.7500 0.7500  4 Cr 3.06, 4 Tl 3.06
Pb 0.2500 0.2500 0.2500  4 Cr 3.06, 4 Tl 3.06

Energy of formation from the pure elements: 546 meV per atom
Volume: 22.004 A^3/atom
Total magnetization: 8.91 μB/f.u.
ΔE to the lowest computed polymorph: 0.211 eV per atom

=====

- Which value of total magnetization does entry 2 give?
  0.00 μB/f.u.

=====

- Look up the total magnetization of the third one.
  8.91 μB/f.u.

=====

Repeat the first record exactly.
The following is a DFT calculation (meta-GGA SCAN) of a PBEsol-optimized structure of MnFeN3.

a = 3.6158 Å, b = 3.6158 Å, c = 3.6158 Å
α = 90.00°, β = 90.00°, γ = 90.00°
Closest atoms and distances in Å follow each position.
Fractional coordinates of all 5 atoms:
Mn 0.0000 0.0000 0.0000  6 N 1.81
Fe 0.5000 0.5000 0.5000  12 N 2.56
N 0.0000 0.0000 0.5000  2 Mn 1.81
N 0.0000 0.5000 0.0000  2 Mn 1.81
N 0.5000 0.0000 0.0000  2 Mn 1.81

Volume: 9.455 A^3/atom
Total magnetization: 2.26 μB/f.u.
E_form (uncorrected): 0.937 eV per atom

=====

- Which of these has the highest volume?
  TlCr2Pb